Material: AcGaAg
Method: DFT, PBE
State: relaxed

Calculated values
For the formation energy, the calculation gives -0.20 eV per atom. The density of states at the Fermi level is 6.0 states/eV/cell. For the distance to the lowest polymorph of the same formula, the calculation gives 265 meV per atom.

a = 3.7032 Å, b = 3.7032 Å, c = 11.3167 Å
α = 90.00°, β = 90.00°, γ = 90.00°
Space group I4mm (No. 107)
Asymmetric unit:
Ac (0.0000, 0.0000, 0.0000) x2
Ga (0.0000, 0.0000, 0.3064) x2
Ag (0.0000, 0.0000, 0.6953) x2